--- one ---
PBE RbNb, optimized geometry; total magnetic moment = 0.007 Bohr magnetons per cell
1.0
14.1812 0.0000 0.0000
-7.0906 12.2813 0.0000
0.0000 0.0000 3.1360
Rb Nb
6 6
Cartesian
-4.1991 8.3252 0.7840
1.9803 4.4822 0.7840
4.8718 0.5261 2.3520
2.2188 11.7551 0.7840
5.1103 7.7991 2.3520
11.2897 3.9560 2.3520
-0.7374 6.9356 0.7840
-0.7155 9.4520 0.7840
1.4529 8.1749 0.7840
5.6377 4.1064 2.3520
7.8061 2.8292 2.3520
7.8280 5.3457 2.3520



--- two ---
PBE RbNb, optimized geometry; total magnetic moment = 10.120 Bohr magnetons per cell
1.0
6.3797 0.0000 0.0000
-3.1898 5.5249 0.0000
0.0000 0.0000 7.3721
Rb Nb
2 2
Cartesian
0.0000 3.6833 1.8430
3.1898 1.8416 5.5291
0.0000 3.6833 5.5291
3.1898 1.8416 1.8430



It turns out one is the most stable, with the second structure 1.563 eV/atom higher.



--- one ---
PBE RbNb, optimized geometry; total magnetic moment = 0.000 Bohr magnetons per cell
1.0
4.9023 0.0000 0.0000
0.0000 11.4688 0.0000
0.0000 0.0000 12.4096
Rb Nb
8 8
Cartesian
0.0065 1.2929 1.3326
0.0035 1.2902 9.4806
2.4477 10.1785 3.2758
2.4446 10.1759 7.5374
2.4546 4.4441 2.9290
2.4577 4.4415 11.0771
4.8958 7.0273 4.8722
4.8988 7.0246 9.1339
0.0140 7.0867 0.8198
0.0143 9.2221 12.1132
2.4369 2.2467 5.9084
2.4372 4.3821 7.0246
2.4654 7.9811 0.2964
2.4651 10.1165 11.5898
4.8884 1.3523 5.3850
4.8881 3.4877 6.5012



--- two ---
PBE RbNb, optimized geometry; total magnetic moment = 0.000 Bohr magnetons per cell
1.0
0.0000 3.1136 3.1136
3.1136 0.0000 3.1136
3.1136 3.1136 0.0000
Rb Nb
1 1
Cartesian
0.0000 0.0000 0.0000
4.6704 4.6704 4.6704



It turns out one is the most stable, with the second structure 2.730 eV/atom higher.



--- one ---
PBE RbNb, optimized geometry; total magnetic moment = 30.065 Bohr magnetons per cell
1.0
10.3791 0.0000 0.0000
0.0000 10.3791 0.0000
0.0000 0.0000 10.3791
Rb Nb
6 6
Cartesian
0.0000 2.5948 5.1895
0.0000 7.7843 5.1895
2.5948 5.1895 0.0000
5.1895 0.0000 2.5948
5.1895 0.0000 7.7843
7.7843 5.1895 0.0000
0.0000 5.1895 2.5948
0.0000 5.1895 7.7843
2.5948 0.0000 5.1895
5.1895 2.5948 0.0000
5.1895 7.7843 0.0000
7.7843 0.0000 5.1895



--- two ---
PBE RbNb, optimized geometry; total magnetic moment = 0.001 Bohr magnetons per cell
1.0
7.9464 0.0000 0.0000
0.0000 11.6876 0.0000
0.0000 0.0000 5.1394
Rb Nb
6 6
Cartesian
0.0000 2.6359 0.0000
1.6366 9.4992 5.1310
2.3366 2.1884 2.5613
3.9732 9.0517 2.5697
5.6097 2.1884 2.5613
6.3098 9.4992 5.1310
0.0000 5.9782 1.2004
1.3246 5.9082 3.7426
2.6486 5.7794 1.1729
3.9732 5.7094 3.7701
5.2977 5.7794 1.1729
6.6218 5.9082 3.7426



It turns out two is the most stable, with the second structure 2.029 eV/atom higher.



--- one ---
PBE Rb2NbRe, optimized geometry; total magnetic moment = 0.301 Bohr magnetons per cell
1.0
-2.0003 2.0003 13.0096
2.0003 -2.0003 13.0096
2.0003 2.0003 -13.0096
Rb Nb Re
4 2 2
Cartesian
3.0005 0.9973 -3.2524
0.9973 1.0002 3.2524
-1.0002 1.0031 9.7572
1.0031 1.0002 16.2620
2.0003 0.0000 6.5048
0.0000 0.0000 13.0096
0.0000 0.0000 0.0000
0.0000 2.0003 6.5048



--- two ---
PBE Rb2NbRe, optimized geometry; total magnetic moment = 0.000 Bohr magnetons per cell
1.0
0.0000 3.7631 3.7631
3.7631 0.0000 3.7631
3.7631 3.7631 0.0000
Rb Nb Re
2 1 1
Cartesian
1.8816 1.8816 1.8816
5.6447 5.6447 5.6447
0.0000 0.0000 0.0000
3.7631 3.7631 3.7631



It turns out one is the most stable, with the second structure 1.163 eV/atom higher.